(1)
Material: YMg6CO8
Method: DFT, GGA-PBE
State: optimized geometry

a b c (Å): 4.2864 4.2864 9.5387
angles (deg): 90.00 90.00 90.00
Sites, in units of the cell vectors:
1 Y 0.0000 0.0000 0.0000
2 Mg 0.0000 0.5000 0.2790
3 Mg 0.0000 0.5000 0.7210
4 Mg 0.5000 0.0000 0.2790
5 Mg 0.5000 0.0000 0.7210
6 Mg 0.5000 0.5000 0.0000
7 Mg 0.5000 0.5000 0.5000
8 C 0.0000 0.0000 0.5000
9 O 0.0000 0.0000 0.2339
10 O 0.0000 0.0000 0.7661
11 O 0.0000 0.5000 0.0000
12 O 0.0000 0.5000 0.5000
13 O 0.5000 0.0000 0.0000
14 O 0.5000 0.0000 0.5000
15 O 0.5000 0.5000 0.2643
16 O 0.5000 0.5000 0.7357

Output
Energy relative to the lowest polymorph listed for this composition in meV/atom: 47
Space group: P4/mmm (123)
Energy relative to the elements, uncorrected in eV/atom: -2.0480
Total magnetic moment in μB per formula unit: 1.00

(2)
Material: YMg6CO8
Method: DFT, GGA-PBE
State: optimized geometry

a b c (Å): 4.2954 4.2954 9.3462
angles (deg): 90.00 90.00 90.00
Sites, in units of the cell vectors:
1 Y 0.0000 0.0000 0.0000
2 Mg 0.0000 0.0000 0.5000
3 Mg 0.0000 0.5000 0.2701
4 Mg 0.0000 0.5000 0.7299
5 Mg 0.5000 0.0000 0.2701
6 Mg 0.5000 0.0000 0.7299
7 Mg 0.5000 0.5000 0.5000
8 C 0.5000 0.5000 0.0000
9 O 0.0000 0.0000 0.2568
10 O 0.0000 0.0000 0.7432
11 O 0.0000 0.5000 0.0000
12 O 0.0000 0.5000 0.5000
13 O 0.5000 0.0000 0.0000
14 O 0.5000 0.0000 0.5000
15 O 0.5000 0.5000 0.2840
16 O 0.5000 0.5000 0.7160

Output
Energy relative to the lowest polymorph listed for this composition in meV/atom: 0
Space group: P4/mmm (123)
Energy relative to the elements, uncorrected in eV/atom: -2.0946
Total magnetic moment in μB per formula unit: 1.00

(3)
Material: MgOs2C
Method: DFT, GGA-PBE
State: optimized geometry

a b c (Å): 7.2448 7.2448 7.2448
angles (deg): 141.51 141.51 55.57
Sites, in units of the cell vectors:
1 Mg 0.0000 0.0000 0.0000
2 Mg 0.7500 0.2500 0.5000
3 Os 0.3181 0.6250 0.1931
4 Os 0.3750 0.5681 0.6931
5 Os 0.4319 0.1250 0.8069
6 Os 0.8750 0.6819 0.3069
7 C 0.2500 0.7500 0.5000
8 C 0.5000 0.5000 0.0000

Output
Energy relative to the lowest polymorph listed for this composition in meV/atom: 0
Space group: I-42d (122)
E_form in eV/f.u.: 4.2
Total magnetic moment in μB per formula unit: 0.00